Record 1
DFT (PBE) results for a geometry-optimized AsS3I structure.

Computed properties:
volume = 112 Å³/f.u.
raw formation energy = 15.39 kcal/mol of atoms
symmetry = No. 221
distance to the lowest polymorph of the same formula = 0 meV per atom

Cell and atoms, written as CIF:
```
data_AsS3I
_space_group_name_H-M_alt 'P 1'
_space_group_IT_number 1
_cell_length_a 4.8232
_cell_length_b 4.8232
_cell_length_c 4.8232
_cell_angle_alpha 90.00
_cell_angle_beta 90.00
_cell_angle_gamma 90.00
loop_
_space_group_symop_operation_xyz
'x,y,z'
loop_
_atom_site_label
_atom_site_type_symbol
_atom_site_fract_x
_atom_site_fract_y
_atom_site_fract_z
S1 S 0.0000 0.5000 0.0000
I1 I 0.5000 0.5000 0.5000
S2 S 0.0000 0.0000 0.5000
S3 S 0.5000 0.0000 0.0000
As1 As 0.0000 0.0000 0.0000
```

Record 2
DFT (PBE) results for a geometry-optimized Tb4AlZnHg2 structure.

Computed properties:
volume = 200 Å³/f.u.
symmetry = No. 166
energy of formation from the pure elements = -0.393 eV per atom

Cell and atoms, written as CIF:
```
data_Tb4AlZnHg2
_space_group_name_H-M_alt 'P 1'
_space_group_IT_number 1
_cell_length_a 5.2087
_cell_length_b 5.2087
_cell_length_c 9.0370
_cell_angle_alpha 73.25
_cell_angle_beta 73.25
_cell_angle_gamma 60.00
loop_
_space_group_symop_operation_xyz
'x,y,z'
loop_
_atom_site_label
_atom_site_type_symbol
_atom_site_fract_x
_atom_site_fract_y
_atom_site_fract_z
Tb1 Tb 0.3759 0.3759 0.8723
Tb2 Tb 0.6241 0.6241 0.1277
Tb3 Tb 0.8741 0.8741 0.3776
Al1 Al 0.0000 0.0000 0.0000
Zn1 Zn 0.5000 0.5000 0.5000
Tb4 Tb 0.1259 0.1259 0.6224
Hg1 Hg 0.2497 0.2497 0.2509
Hg2 Hg 0.7503 0.7503 0.7491
```

Record 3
DFT (PBE) results for a geometry-optimized Er3Ga9Ru2 structure.

Computed properties:
volume = 248 Å³/f.u.
symmetry = No. 71
energy of formation from the pure elements = -0.566 eV per atom

Cell and atoms, written as CIF:
```
data_Er3Ga9Ru2
_space_group_name_H-M_alt 'P 1'
_space_group_IT_number 1
_cell_length_a 4.2405
_cell_length_b 8.0807
_cell_length_c 8.0807
_cell_angle_alpha 71.48
_cell_angle_beta 74.79
_cell_angle_gamma 74.79
loop_
_space_group_symop_operation_xyz
'x,y,z'
loop_
_atom_site_label
_atom_site_type_symbol
_atom_site_fract_x
_atom_site_fract_y
_atom_site_fract_z
Ru1 Ru 0.5000 0.6733 0.3267
Ga1 Ga 0.8673 0.8492 0.4163
Ga2 Ga 0.1327 0.1508 0.5837
Er1 Er 0.0000 0.0000 0.0000
Ga3 Ga 0.8673 0.4163 0.8492
Ga4 Ga 0.3470 0.0178 0.2881
Ru2 Ru 0.5000 0.3267 0.6733
Ga5 Ga 0.6530 0.9822 0.7119
Ga6 Ga 0.1327 0.5837 0.1508
Ga7 Ga 0.0000 0.5000 0.5000
Ga8 Ga 0.3470 0.2881 0.0178
Er2 Er 0.3011 0.6989 0.6989
Er3 Er 0.6989 0.3011 0.3011
Ga9 Ga 0.6530 0.7119 0.9822
```

Record 4
DFT (PBE) results for a geometry-optimized Cs2PuCd2O6 structure.

Computed properties:
volume = 217 Å³/f.u.
raw formation energy = -39.25 kcal/mol of atoms
symmetry = No. 12

Cell and atoms, written as CIF:
```
data_Cs2PuCd2O6
_space_group_name_H-M_alt 'P 1'
_space_group_IT_number 1
_cell_length_a 5.8818
_cell_length_b 5.8818
_cell_length_c 7.4308
_cell_angle_alpha 100.58
_cell_angle_beta 100.58
_cell_angle_gamma 116.09
loop_
_space_group_symop_operation_xyz
'x,y,z'
loop_
_atom_site_label
_atom_site_type_symbol
_atom_site_fract_x
_atom_site_fract_y
_atom_site_fract_z
O1 O 0.2417 0.2417 0.3434
Pu1 Pu 0.0000 0.0000 0.5000
Cd1 Cd 0.6629 0.3371 0.5000
Cs1 Cs 0.1768 0.8232 0.0000
O2 O 0.6555 0.9550 0.3273
O3 O 0.3445 0.0450 0.6727
O4 O 0.9550 0.6555 0.3273
Cd2 Cd 0.3371 0.6629 0.5000
O5 O 0.7583 0.7583 0.6566
O6 O 0.0450 0.3445 0.6727
Cs2 Cs 0.8232 0.1768 0.0000
```